No. 1
Compound: ZrPb2Br
Source: Alexandria
Functional: SCAN
Structure: PBEsol geometry

Unit cell a=11.6988 b=3.3245 c=5.7385 alpha=90.00 beta=110.47 gamma=90.00
Space group Cm (No. 8)
Inequivalent atoms, fractional coordinates:
Zr 0.0000 0.0000 0.0000 [2 per cell]
Pb 0.0784 0.5000 0.4777 [2 per cell]
Pb 0.2371 0.5000 0.0586 [2 per cell]
Br 0.3600 0.0000 0.6481 [2 per cell]

Output
As for the energy relative to the elements, uncorrected: -398 meV/atom.

=====

No. 2
Compound: Y2Cl3
Source: Alexandria
Functional: SCAN
Structure: PBEsol geometry

Unit cell a=15.0148 b=3.7908 c=10.0691 alpha=90.00 beta=118.45 gamma=90.00
Space group C2/m (No. 12)
Inequivalent atoms, fractional coordinates:
Y 0.0894 0.0000 0.4498 [4 per cell]
Y 0.1389 0.5000 0.7924 [4 per cell]
Cl 0.0469 0.5000 0.2352 [4 per cell]
Cl 0.1576 0.0000 0.0074 [4 per cell]
Cl 0.2307 0.5000 0.6191 [4 per cell]

Output
As for the energy relative to the elements, uncorrected: -2116 meV/atom.

=====

No. 3
Compound: BeCd2Cl
Source: Alexandria
Functional: SCAN
Structure: PBEsol geometry

Unit cell a=7.1698 b=7.2175 c=2.8887 alpha=90.00 beta=90.00 gamma=90.00
Space group Cmmm (No. 65)
Inequivalent atoms, fractional coordinates:
Be 0.0000 0.0000 0.0000 [2 per cell]
Cd 0.2500 0.2500 0.5000 [4 per cell]
Cl 0.0000 0.5000 0.0000 [2 per cell]

Output
As for the energy relative to the elements, uncorrected: 191 meV/atom.